<a>
# BaLaSe2F

Crystalline BaLaSe2F at its relaxed geometry (PBE-GGA, Alexandria).

Unit cell a=4.3743 b=4.3743 c=15.2216 alpha=90.00 beta=90.00 gamma=90.00
With the nearest neighbours (Å) after each atom.
Atoms (fractional coordinates):
Ba 0.2500 0.2500 0.1020  4 F 2.68
Ba 0.7500 0.7500 0.8980  4 F 2.68
La 0.2500 0.2500 0.6204  1 Se 2.73
La 0.7500 0.7500 0.3796  1 Se 2.73
Se 0.2500 0.2500 0.4083  5 La 3.12-3.23
Se 0.2500 0.2500 0.8000  1 La 2.73
Se 0.7500 0.7500 0.2000  1 La 2.73
Se 0.7500 0.7500 0.5917  5 La 3.12-3.23
F 0.2500 0.7500 0.0000  4 Ba 2.68
F 0.7500 0.2500 0.0000  4 Ba 2.68

Calculated values
Symmetry: P4/nmm

***

<b>
# BaLaSe2F

Crystalline BaLaSe2F at its relaxed geometry (PBE-GGA, Alexandria).

Unit cell a=5.8628 b=5.8628 c=4.6006 alpha=90.00 beta=90.00 gamma=90.00
With the nearest neighbours (Å) after each atom.
Atoms (fractional coordinates):
Ba 0.0000 0.0000 0.0000  8 Se 3.73, 4 F 4.15
La 0.5000 0.5000 0.5000  2 F 2.30
Se 0.0000 0.5000 0.5000  2 La 2.93
Se 0.5000 0.0000 0.5000  2 La 2.93
F 0.5000 0.5000 0.0000  2 La 2.30

Calculated values
Symmetry: P4/mmm

***

<a> wins, 40 meV per atom ahead of the next structure.

***

<a>
# BaLiF3

Crystalline BaLiF3 at its relaxed geometry (PBE-GGA, Alexandria).

Unit cell a=5.0829 b=5.0829 c=5.0829 alpha=90.00 beta=90.00 gamma=90.00
With the nearest neighbours (Å) after each atom.
Atoms (fractional coordinates):
Ba 0.0000 0.0000 0.0000  6 F 2.54
Li 0.5000 0.5000 0.5000  12 F 3.59
F 0.0000 0.0000 0.5000  2 Ba 2.54
F 0.0000 0.5000 0.0000  2 Ba 2.54
F 0.5000 0.0000 0.0000  2 Ba 2.54

Calculated values
Symmetry: Pm-3m

***

<b>
# BaLiF3

Crystalline BaLiF3 at its relaxed geometry (PBE-GGA, Alexandria).

Unit cell a=4.0492 b=4.0492 c=4.0492 alpha=90.00 beta=90.00 gamma=90.00
With the nearest neighbours (Å) after each atom.
Atoms (fractional coordinates):
Ba 0.0000 0.0000 0.0000  12 F 2.86
Li 0.5000 0.5000 0.5000  6 F 2.02
F 0.0000 0.5000 0.5000  2 Li 2.02
F 0.5000 0.0000 0.5000  2 Li 2.02
F 0.5000 0.5000 0.0000  2 Li 2.02

Calculated values
Symmetry: Pm-3m

***

<b> wins, 635 meV per atom ahead of the next structure.

***

<a>
# BaLi2F

Crystalline BaLi2F at its relaxed geometry (PBE-GGA, Alexandria).

Unit cell a=6.6973 b=6.6973 c=6.6973 alpha=120.13 beta=120.13 gamma=89.78
With the nearest neighbours (Å) after each atom.
Atoms (fractional coordinates):
Ba 0.3750 0.6250 0.7500  12 Li 3.92-3.93, 4 Ba 4.10, 4 F 4.10
Ba 0.6250 0.3750 0.2500  12 Li 3.92-3.93, 4 F 4.10, 4 Ba 4.10
Li 0.0000 0.0000 0.0000  2 F 2.05
Li 0.0000 0.0000 0.5000  2 F 2.05
Li 0.0000 0.5000 0.0000  2 F 2.05
Li 0.5000 0.0000 0.5000  2 F 2.05
F 0.1250 0.8750 0.2500  4 Li 2.05
F 0.8750 0.1250 0.7500  4 Li 2.05

Calculated values
Symmetry: I4_1/amd

***

<b>
# BaLi2F

Crystalline BaLi2F at its relaxed geometry (PBE-GGA, Alexandria).

Unit cell a=5.4413 b=5.4413 c=5.4413 alpha=60.00 beta=60.00 gamma=60.00
With the nearest neighbours (Å) after each atom.
Atoms (fractional coordinates):
Ba 0.0000 0.0000 0.0000  8 Li 3.33
Li 0.2500 0.2500 0.2500  4 Ba 3.33, 4 F 3.33
Li 0.7500 0.7500 0.7500  4 Ba 3.33, 4 F 3.33
F 0.5000 0.5000 0.5000  8 Li 3.33

Calculated values
Symmetry: Fm-3m

***

<a> wins, 757 meV per atom ahead of the next structure.

***

<a>
# BaLiNF2

Crystalline BaLiNF2 at its relaxed geometry (PBE-GGA, Alexandria).

Unit cell a=4.0485 b=4.0485 c=4.3143 alpha=90.00 beta=90.00 gamma=90.00
With the nearest neighbours (Å) after each atom.
Atoms (fractional coordinates):
Ba 0.0000 0.0000 0.0000  4 N 2.86, 8 F 2.96
Li 0.5000 0.5000 0.5000  4 F 2.02, 2 N 2.16
N 0.5000 0.5000 0.0000  2 Li 2.16
F 0.0000 0.5000 0.5000  2 Li 2.02
F 0.5000 0.0000 0.5000  2 Li 2.02

Calculated values
Symmetry: P4/mmm

***

<b>
# BaLiNF2

Crystalline BaLiNF2 at its relaxed geometry (PBE-GGA, Alexandria).

Unit cell a=5.0404 b=5.0404 c=5.4431 alpha=90.00 beta=90.00 gamma=90.00
With the nearest neighbours (Å) after each atom.
Atoms (fractional coordinates):
Ba 0.0000 0.0000 0.0000  4 F 2.52, 2 N 2.72
Li 0.5000 0.5000 0.5000  4 N 3.56, 8 F 3.71
N 0.0000 0.0000 0.5000  2 Ba 2.72
F 0.0000 0.5000 0.0000  2 Ba 2.52
F 0.5000 0.0000 0.0000  2 Ba 2.52

Calculated values
Symmetry: P4/mmm

***

<a> wins, 580 meV per atom ahead of the next structure.

***

<a>
# Ba2NaLiF

Crystalline Ba2NaLiF at its relaxed geometry (PBE-GGA, Alexandria).

Unit cell a=5.7409 b=5.7409 c=5.2137 alpha=90.00 beta=90.00 gamma=90.00
With the nearest neighbours (Å) after each atom.
Atoms (fractional coordinates):
Ba 0.0000 0.5000 0.0000  2 F 2.87
Ba 0.5000 0.0000 0.0000  2 F 2.87
Na 0.0000 0.0000 0.5000  2 F 2.61
Li 0.5000 0.5000 0.5000  8 Ba 3.88, 4 Na 4.06
F 0.0000 0.0000 0.0000  2 Na 2.61, 4 Ba 2.87

Calculated values
Symmetry: P4/mmm

***

<b>
# Ba2NaLiF

Crystalline Ba2NaLiF at its relaxed geometry (PBE-GGA, Alexandria).

Unit cell a=7.1134 b=7.1134 c=4.1582 alpha=90.00 beta=90.00 gamma=90.00
With the nearest neighbours (Å) after each atom.
Atoms (fractional coordinates):
Ba 0.0000 0.5000 0.0000  2 Na 3.56
Ba 0.5000 0.0000 0.0000  2 Na 3.56
Na 0.0000 0.0000 0.0000  2 F 2.08
Li 0.5000 0.5000 0.5000  8 Ba 4.12, 2 Li 4.16
F 0.0000 0.0000 0.5000  2 Na 2.08

Calculated values
Symmetry: P4/mmm

***

<c>
# Ba2NaLiF

Crystalline Ba2NaLiF at its relaxed geometry (PBE-GGA, Alexandria).

Unit cell a=5.8333 b=5.8333 c=5.0316 alpha=90.00 beta=90.00 gamma=90.00
With the nearest neighbours (Å) after each atom.
Atoms (fractional coordinates):
Ba 0.0000 0.5000 0.0000  2 F 2.92
Ba 0.5000 0.0000 0.0000  2 F 2.92
Na 0.0000 0.0000 0.5000  8 Ba 3.85, 4 Li 4.12
Li 0.5000 0.5000 0.5000  2 F 2.52
F 0.5000 0.5000 0.0000  2 Li 2.52

Calculated values
Symmetry: P4/mmm

***

<a> wins, 45 meV per atom ahead of the next structure.

***

<a>
# BaLiOF2

Crystalline BaLiOF2 at its relaxed geometry (PBE-GGA, Alexandria).

Unit cell a=4.0394 b=4.0394 c=4.1244 alpha=90.00 beta=90.00 gamma=90.00
With the nearest neighbours (Å) after each atom.
Atoms (fractional coordinates):
Ba 0.0000 0.0000 0.0000  4 O 2.86, 8 F 2.89
Li 0.5000 0.5000 0.5000  4 F 2.02, 2 O 2.06
O 0.5000 0.5000 0.0000  2 Li 2.06
F 0.0000 0.5000 0.5000  2 Li 2.02
F 0.5000 0.0000 0.5000  2 Li 2.02

Calculated values
Symmetry: P4/mmm

***

<b>
# BaLiOF2

Crystalline BaLiOF2 at its relaxed geometry (PBE-GGA, Alexandria).

Unit cell a=5.0687 b=5.0687 c=4.5556 alpha=90.00 beta=90.00 gamma=90.00
With the nearest neighbours (Å) after each atom.
Atoms (fractional coordinates):
Ba 0.0000 0.0000 0.0000  2 O 2.28, 4 F 2.53
Li 0.5000 0.5000 0.5000  8 F 3.41, 4 O 3.58
O 0.0000 0.0000 0.5000  2 Ba 2.28
F 0.0000 0.5000 0.0000  2 Ba 2.53
F 0.5000 0.0000 0.0000  2 Ba 2.53

Calculated values
Symmetry: P4/mmm

***

<a> wins, 595 meV per atom ahead of the next structure.

***

<a>
# BaMgF2

Crystalline BaMgF2 at its relaxed geometry (PBE-GGA, Alexandria).

Unit cell a=4.9057 b=4.9057 c=4.9057 alpha=60.00 beta=60.00 gamma=60.00
With the nearest neighbours (Å) after each atom.
Atoms (fractional coordinates):
Ba 0.0000 0.0000 0.0000  8 F 3.00
Mg 0.5000 0.5000 0.5000  8 F 3.00
F 0.2500 0.2500 0.2500  4 Mg 3.00, 4 Ba 3.00
F 0.7500 0.7500 0.7500  4 Mg 3.00, 4 Ba 3.00

Calculated values
Symmetry: Fm-3m

***

<b>
# BaMgF2

Crystalline BaMgF2 at its relaxed geometry (PBE-GGA, Alexandria).

Unit cell a=6.4391 b=6.4391 c=6.4391 alpha=39.69 beta=39.69 gamma=39.69
With the nearest neighbours (Å) after each atom.
Atoms (fractional coordinates):
Ba 0.0000 0.0000 0.0000  6 F 2.69
Mg 0.5000 0.5000 0.5000  2 F 2.03
F 0.3858 0.3858 0.3858  1 Mg 2.03
F 0.6142 0.6142 0.6142  1 Mg 2.03

Calculated values
Symmetry: R-3m

***

<b> wins, 456 meV per atom ahead of the next structure.

***

<a>
# BaMgF2

Crystalline BaMgF2 at its relaxed geometry (PBE-GGA, Alexandria).

Unit cell a=7.0212 b=7.0212 c=7.0212 alpha=133.28 beta=133.28 gamma=68.22
With the nearest neighbours (Å) after each atom.
Atoms (fractional coordinates):
Ba 0.0000 0.0000 0.0000  4 F 2.98
Ba 0.7500 0.2500 0.5000  4 F 2.98
Mg 0.2500 0.7500 0.5000  4 F 2.10
Mg 0.5000 0.5000 0.0000  4 F 2.10
F 0.2689 0.6250 0.1439  2 Mg 2.10
F 0.3750 0.5189 0.6439  2 Mg 2.10
F 0.4811 0.1250 0.8561  2 Mg 2.10
F 0.8750 0.7311 0.3561  2 Mg 2.10

Calculated values
Symmetry: I-42d

***

<b>
# BaMgF2

Crystalline BaMgF2 at its relaxed geometry (PBE-GGA, Alexandria).

Unit cell a=7.6375 b=7.6375 c=7.6375 alpha=26.86 beta=26.86 gamma=26.86
With the nearest neighbours (Å) after each atom.
Atoms (fractional coordinates):
Ba 0.0000 0.0000 0.0000  2 F 2.86
Mg 0.5000 0.5000 0.5000  6 F 2.21
F 0.1297 0.1297 0.1297  3 Mg 2.21
F 0.8703 0.8703 0.8703  3 Mg 2.21

Calculated values
Symmetry: R-3m

***

<a> wins, 25 meV per atom ahead of the next structure.

***

<a>
# BaMgF3

Crystalline BaMgF3 at its relaxed geometry (PBE-GGA, Alexandria).

Unit cell a=5.0808 b=5.0808 c=5.0808 alpha=90.00 beta=90.00 gamma=90.00
With the nearest neighbours (Å) after each atom.
Atoms (fractional coordinates):
Ba 0.0000 0.0000 0.0000  6 F 2.54
Mg 0.5000 0.5000 0.5000  12 F 3.59
F 0.0000 0.0000 0.5000  2 Ba 2.54
F 0.0000 0.5000 0.0000  2 Ba 2.54
F 0.5000 0.0000 0.0000  2 Ba 2.54

Calculated values
Symmetry: Pm-3m

***

<b>
# BaMgF3

Crystalline BaMgF3 at its relaxed geometry (PBE-GGA, Alexandria).

Unit cell a=4.3272 b=4.3272 c=4.3272 alpha=90.00 beta=90.00 gamma=90.00
With the nearest neighbours (Å) after each atom.
Atoms (fractional coordinates):
Ba 0.0000 0.0000 0.0000  12 F 3.06
Mg 0.5000 0.5000 0.5000  6 F 2.16
F 0.0000 0.5000 0.5000  2 Mg 2.16
F 0.5000 0.0000 0.5000  2 Mg 2.16
F 0.5000 0.5000 0.0000  2 Mg 2.16

Calculated values
Symmetry: Pm-3m

***

<b> wins, 471 meV per atom ahead of the next structure.

***

<a>
# BaMg2OsF

Crystalline BaMg2OsF at its relaxed geometry (PBE-GGA, Alexandria).

Unit cell a=7.0564 b=7.0564 c=5.6509 alpha=90.00 beta=90.00 gamma=90.00
With the nearest neighbours (Å) after each atom.
Atoms (fractional coordinates):
Ba 0.0000 0.0000 0.0000  2 Os 2.83
Mg 0.0000 0.5000 0.0000  2 Ba 3.53
Mg 0.5000 0.0000 0.0000  2 Ba 3.53
Os 0.0000 0.0000 0.5000  2 Ba 2.83
F 0.5000 0.5000 0.5000  8 Mg 4.52, 4 Os 4.99

Calculated values
Symmetry: P4/mmm

***

<b>
# BaMg2OsF

Crystalline BaMg2OsF at its relaxed geometry (PBE-GGA, Alexandria).

Unit cell a=5.0138 b=5.0138 c=5.1236 alpha=90.00 beta=90.00 gamma=90.00
With the nearest neighbours (Å) after each atom.
Atoms (fractional coordinates):
Ba 0.0000 0.0000 0.0000  4 F 3.55, 8 Mg 3.58
Mg 0.0000 0.5000 0.5000  2 Os 2.51
Mg 0.5000 0.0000 0.5000  2 Os 2.51
Os 0.5000 0.5000 0.5000  4 Mg 2.51, 2 F 2.56
F 0.5000 0.5000 0.0000  2 Os 2.56

Calculated values
Symmetry: P4/mmm

***

<b> wins, 1406 meV per atom ahead of the next structure.